Record 1
Compound: HfHPd2Ru
Source: Alexandria via LeMat-Bulk
Functional: PBE-GGA
Structure: relaxed

Output
**Energy above the lowest structure with this stoichiometry**: 0.00 kcal/mol of atoms
**Raw total energy**: -7.09 eV per atom

Unit cell a=3.9824 b=3.9824 c=4.1332 alpha=90.00 beta=90.00 gamma=90.00
Closest atoms and distances in Å follow each position.
Space group P4/mmm (No. 123)
Asymmetric unit:
Hf: 0.0000 0.0000 0.0000  4 Ru 2.82, 8 Pd 2.87
H: 0.5000 0.5000 0.5000  4 Pd 1.99, 2 Ru 2.07
Pd: 0.0000 0.5000 0.5000  2 H 1.99
Ru: 0.5000 0.5000 0.0000  2 H 2.07

---

Record 2
Compound: HfHPdRu2
Source: Alexandria via LeMat-Bulk
Functional: PBE-GGA
Structure: relaxed

Output
**Energy above the lowest structure with this stoichiometry**: 0.57 kcal/mol of atoms
**Raw total energy**: -7.75 eV per atom

Unit cell a=3.9441 b=3.9441 c=4.1468 alpha=90.00 beta=90.00 gamma=90.00
Closest atoms and distances in Å follow each position.
Space group P4/mmm (No. 123)
Asymmetric unit:
Hf: 0.0000 0.0000 0.0000  2 H 2.07
H: 0.0000 0.0000 0.5000  4 Ru 1.97, 2 Hf 2.07
Pd: 0.5000 0.5000 0.0000  4 Hf 2.79, 8 Ru 2.86
Ru: 0.0000 0.5000 0.5000  2 H 1.97

---

Record 3
Compound: HfHPd2Ru
Source: Alexandria via LeMat-Bulk
Functional: PBE-GGA
Structure: relaxed

Output
**Energy above the lowest structure with this stoichiometry**: 25.73 kcal/mol of atoms
**Raw total energy**: -5.98 eV per atom

Unit cell a=4.9432 b=4.9432 c=3.3815 alpha=90.00 beta=90.00 gamma=90.00
Closest atoms and distances in Å follow each position.
Space group P4/mmm (No. 123)
Asymmetric unit:
Hf: 0.0000 0.0000 0.0000  2 H 1.69
H: 0.0000 0.0000 0.5000  2 Hf 1.69
Pd: 0.0000 0.5000 0.0000  2 Hf 2.47
Ru: 0.5000 0.5000 0.5000  8 Pd 2.99

---

Record 4
Compound: HfHPdRu2
Source: Alexandria via LeMat-Bulk
Functional: PBE-GGA
Structure: relaxed

Output
**Energy above the lowest structure with this stoichiometry**: 0.00 kcal/mol of atoms
**Raw total energy**: -7.78 eV per atom

Unit cell a=4.0175 b=4.0175 c=3.9835 alpha=90.00 beta=90.00 gamma=90.00
Closest atoms and distances in Å follow each position.
Space group P4/mmm (No. 123)
Asymmetric unit:
Hf: 0.0000 0.0000 0.0000  8 Ru 2.83, 4 Pd 2.84
H: 0.5000 0.5000 0.5000  2 Pd 1.99, 4 Ru 2.01
Pd: 0.5000 0.5000 0.0000  2 H 1.99
Ru: 0.0000 0.5000 0.5000  2 H 2.01

---

Record 5
Compound: HfSc2HPd
Source: Alexandria via LeMat-Bulk
Functional: PBE-GGA
Structure: relaxed

Output
**Raw total energy**: -6.55 eV per atom

Unit cell a=4.5023 b=4.5023 c=4.0821 alpha=90.00 beta=90.00 gamma=90.00
Closest atoms and distances in Å follow each position.
Space group P4/mmm (No. 123)
Asymmetric unit:
Hf: 0.0000 0.0000 0.0000  2 H 2.04
Sc: 0.0000 0.5000 0.5000  2 H 2.25
H: 0.0000 0.0000 0.5000  2 Hf 2.04, 4 Sc 2.25
Pd: 0.5000 0.5000 0.0000  8 Sc 3.04, 4 Hf 3.18

---

Record 6
Compound: Hf2ScHPd
Source: Alexandria via LeMat-Bulk
Functional: PBE-GGA
Structure: relaxed

Output
**Raw total energy**: -7.24 eV per atom

Unit cell a=4.2830 b=4.2830 c=4.4808 alpha=90.00 beta=90.00 gamma=90.00
Closest atoms and distances in Å follow each position.
Space group P4/mmm (No. 123)
Asymmetric unit:
Hf: 0.0000 0.5000 0.0000  2 H 2.14
Sc: 0.0000 0.0000 0.5000  2 H 2.24
H: 0.0000 0.0000 0.0000  4 Hf 2.14, 2 Sc 2.24
Pd: 0.5000 0.5000 0.5000  4 Sc 3.03, 8 Hf 3.10